Record 1
Here is a relaxed structure of Pm7Co2Ir2 from Alexandria. Energies are from PBE-GGA.

Cell: 7.6265 10.9036 6.8052 Å, 90.00 90.00 90.00°
Closest atoms and distances in Å follow each position.
Space group Cmmm (No. 65)
Unique sites:
Pm1 0.0000 0.0000 0.0000  2 Co 3.15
Pm2 0.0000 0.5000 0.2535  2 Co 2.88, 2 Ir 2.99
Pm3 0.2500 0.2500 0.2669  2 Co 2.67
Co1 0.0000 0.2891 0.0000  6 Pm 2.67-2.88
Ir1 0.1757 0.0000 0.5000  1 Ir 2.68, 2 Pm 2.99

Values from the calculation:
Its total DFT energy (no corrections) is -6.078 eV/atom. The size of the total moment is 0.000 Bohr magnetons per cell. For the formation energy, the calculation gives -0.15 eV/atom.

---

Record 2
Here is a relaxed structure of LaPr3N3 from Alexandria. Energies are from PBE-GGA.

Cell: 8.4336 8.4336 5.3701 Å, 90.00 90.00 120.00°
Closest atoms and distances in Å follow each position.
Space group P6_3/mmc (No. 194)
Unique sites:
La1 0.3333 0.6667 0.2500  3 N 2.46
Pr1 0.1638 0.3276 0.7500  4 N 2.40-2.69
N1 0.1647 0.3293 0.2500  4 Pr 2.40-2.69, 1 La 2.46

Values from the calculation:
Its formation energy from raw total energies is -1022 meV/atom. Its total DFT energy (no corrections) is -7.342 eV/atom. The size of the total moment is 1.060 Bohr magnetons per cell.

---

Record 3
Here is a relaxed structure of CsPa3Cu4O12 from Alexandria. Energies are from PBE-GGA.

Cell: 11.6256 11.6256 8.7388 Å, 90.00 90.00 120.00°
Closest atoms and distances in Å follow each position.
Space group R32 (No. 155, hexagonal axes)
Unique sites:
Cs1 0.0000 0.0000 0.0000  6 O 3.07
Pa1 0.0000 0.5547 0.0000  6 O 2.06-2.28
Cu1 0.0000 0.0000 0.5000  3 O 1.89
Cu2 0.0000 0.4461 0.5000  3 O 1.85-1.88
O1 0.0000 0.6077 0.5000  1 Cu 1.88
O2 0.0000 0.8371 0.5000  1 Cu 1.89
O3 0.0510 0.2359 0.2030  1 Cu 1.85, 1 Pa 2.06

Values from the calculation:
Its formation energy from raw total energies is -2107 meV/atom. Its total DFT energy (no corrections) is -7.368 eV/atom. The size of the total moment is 12.304 Bohr magnetons per cell.

---

Record 4
Here is a relaxed structure of SmAl2Rh from Alexandria. Energies are from PBE-GGA.

Cell: 15.2476 7.0900 5.7657 Å, 90.00 90.00 90.00°
Closest atoms and distances in Å follow each position.
Space group Pnma (No. 62)
Unique sites:
Sm1 0.1006 0.2500 0.2431  2 Rh 2.95-2.98, 6 Al 3.12-3.24
Sm2 0.1376 0.7500 0.4608  2 Rh 2.88-3.02, 4 Al 3.14-3.17
Al1 0.0445 0.0602 0.7626  3 Rh 2.60-2.62, 2 Al 2.69-2.83
Al2 0.2101 0.5527 0.9372  3 Rh 2.56-2.57, 2 Al 2.80-2.83
Rh1 0.0708 0.7500 0.9930  6 Al 2.56-2.62
Rh2 0.1899 0.2500 0.7022  6 Al 2.56-2.62

Values from the calculation:
Its total DFT energy (no corrections) is -5.681 eV/atom. The size of the total moment is 0.000 Bohr magnetons per cell. For the formation energy, the calculation gives -0.79 eV/atom.

---

Record 5
Here is a relaxed structure of CePm2Ni2 from Alexandria. Energies are from PBE-GGA.

Cell: 10.8070 6.1975 7.1494 Å, 90.00 101.05 90.00°
Closest atoms and distances in Å follow each position.
Space group C2/c (No. 15)
Unique sites:
Ce1 0.0000 0.0818 0.2500  4 Ni 2.62-2.64
Pm1 0.1521 0.3933 0.6471  4 Ni 2.97-3.07
Ni1 0.1482 0.1554 0.0066  1 Ni 2.51, 2 Ce 2.62-2.64

Values from the calculation:
Its total DFT energy (no corrections) is -5.677 eV/atom. The size of the total moment is 0.000 Bohr magnetons per cell. For the formation energy, the calculation gives -0.28 eV/atom.

---

Record 6
Here is a relaxed structure of Ac4Pt2Au from Alexandria. Energies are from PBE-GGA.

Cell: 4.3656 14.5316 15.0475 Å, 90.00 90.00 90.00°
Closest atoms and distances in Å follow each position.
Space group Cmcm (No. 63)
Unique sites:
Ac1 0.0000 0.0000 0.0000  4 Pt 3.08
Ac2 0.0000 0.2705 0.1164  3 Pt 3.06, 2 Au 3.38
Ac3 0.0000 0.4555 0.7500  2 Pt 3.07, 2 Au 3.22
Pt1 0.0000 0.3667 0.5646  6 Ac 3.06-3.08
Au1 0.0000 0.1187 0.7500  6 Ac 3.22-3.38

Values from the calculation:
Its total DFT energy (no corrections) is -5.482 eV/atom. The size of the total moment is 0.000 Bohr magnetons per cell. For the formation energy, the calculation gives -0.94 eV/atom.